Compound: Sm3TeSe6
Source: the Alexandria database
Functional: PBE
Structure: optimized geometry

a = 11.2580 Å, b = 14.2412 Å, c = 7.1164 Å
α = 90.00°, β = 90.00°, γ = 90.00°
With the nearest neighbours (Å) after each atom.
Space group Cmc2_1 (No. 36)
Inequivalent atoms, fractional coordinates:
Sm: 0.0000 0.0889 0.0000  7 Se 2.93-3.06
Sm: 0.1868 0.3995 0.1159  7 Se 2.90-3.15
Te: 0.0000 0.3321 0.5898  3 Se 2.65-2.88
Se: 0.0000 0.2664 0.2413  1 Te 2.65, 2 Sm 2.97
Se: 0.0000 0.4909 0.8615  2 Te 2.98-3.00, 4 Sm 3.07-3.15
Se: 0.1633 0.2329 0.8302  1 Te 2.88, 3 Sm 2.95-3.14
Se: 0.1654 0.0367 0.3048  4 Sm 2.90-2.95

Properties
Calculated volume ... 28.5 A^3/atom
Formation energy from raw total energies ... -13.27 eV/f.u.